Entry 1:
Density functional theory data (PBE+U) for crystalline CsNiB2F8 at its relaxed geometry.

Results
uncorrected energy	-5.173	eV/atom
DOS at the Fermi energy	0.5696	states/eV per atom
symmetry	R-3, No. 148
volume	15.4	Å³/atom

Geometry as POSCAR:
```
CsNiB2F8
1.0
-1.878 1.221 -4.670
-3.532 -3.049 -2.249
-7.631 3.601 1.137
F B Cs Ni
8 2 1 1
Cartesian
-3.185 0.479 -2.955 F
-9.794 2.820 -4.588 F
-3.247 -1.047 -1.194 F
-11.201 0.965 -4.702 F
-8.915 0.704 -4.848 F
-9.856 1.294 -2.827 F
-4.126 1.069 -0.934 F
-1.840 0.807 -1.080 F
-9.959 1.459 -4.231 B
-3.081 0.314 -1.551 B
-6.520 0.886 -2.891 Cs
0.000 0.000 0.000 Ni
```

---

Entry 2:
Density functional theory data (PBE+U) for crystalline CsNiBF2 at its relaxed geometry.

Results
uncorrected energy	-3.325	eV/atom
DOS at the Fermi energy	0.0250	states/eV per atom
symmetry	P4/mmm, No. 123
volume	17.0	Å³/atom

Geometry as POSCAR:
```
CsNiBF2
1.0
4.654 0.000 0.000
0.000 3.923 0.000
0.000 0.000 4.654
Ni F B Cs
1 2 1 1
Cartesian
0.000 0.000 0.000 Ni
0.000 0.000 2.327 F
2.327 0.000 0.000 F
0.000 1.962 0.000 B
2.327 1.962 2.327 Cs
```